# 1
Here is an optimized crystal structure of Pm2Ho12Tm5 from Alexandria via LeMat-Bulk. Energies are from GGA-PBE.

Output
As for the formation energy: 0.134 eV/atom. The calculation puts the offset from the most stable computed form at 111 meV/atom.

Cell: 9.156 12.315 8.446 Å, 132.52 90.00 111.82°
Positions (direct):
Pm (0.684, 0.000, 0.000)
Pm (0.316, 0.000, 0.000)
Ho (0.095, 0.189, 0.306)
Ho (0.024, 0.685, 0.929)
Ho (0.661, 0.685, 0.929)
Ho (0.182, 0.748, 0.400)
Ho (0.566, 0.748, 0.400)
Ho (0.558, 0.116, 0.786)
Ho (0.442, 0.884, 0.214)
Ho (0.818, 0.252, 0.600)
Ho (0.434, 0.252, 0.600)
Ho (0.976, 0.315, 0.071)
Ho (0.339, 0.315, 0.071)
Ho (0.905, 0.811, 0.694)
Tm (0.303, 0.607, 0.615)
Tm (0.232, 0.465, 0.888)
Tm (0.000, 0.000, 0.500)
Tm (0.768, 0.535, 0.112)
Tm (0.697, 0.393, 0.385)



# 2
Here is an optimized crystal structure of Cs3BaW from Alexandria via LeMat-Bulk. Energies are from GGA-PBE.

Output
As for the formation energy: 1.554 eV/atom.

Cell: 6.639 6.639 6.639 Å, 90.00 90.00 90.00°
Site moments in Bohr magnetons follow the coordinates.
Positions (direct):
Cs (0.000, 0.500, 0.000)  0.08
Cs (0.000, 0.000, 0.500)  0.07
Cs (0.500, 0.000, 0.000)  0.09
Ba (0.500, 0.500, 0.500)  0.10
W (0.000, 0.000, 0.000)  3.14



Per-record total DFT energy (no corrections), eV per atom: -4.43, -1.93
Per-record total magnetic moment, μB/atom: 0.000, 1.177
Per-record mass density, kg/m³: 8531, 4085